GGA-PBE LaTiV, optimized geometry; calculated volume = 264.1 Å³/cell; distance to the lowest polymorph of the same formula = 64 meV per atom; ΔH_f (0 K) = 0.24 eV per atom; space group = C2 (5); magnetization = 0.000 μB/f.u.; raw total energy = -7.07 eV/atom
1.0
11.317 0.000 0.003
0.000 4.752 0.000
-0.012 0.000 4.911
V Ti La
4 4 4
Cartesian
9.361 4.361 1.226
1.944 4.361 3.688
9.355 1.985 3.681
1.950 1.985 1.233
0.751 4.453 1.230
10.555 4.453 3.684
0.745 2.077 3.685
10.560 2.077 1.229
7.371 1.288 1.222
3.934 1.288 3.692
7.366 3.664 3.677
3.940 3.664 1.237


GGA-PBE LaTiV, optimized geometry; calculated volume = 273.0 Å³/cell; distance to the lowest polymorph of the same formula = 69 meV per atom; ΔH_f (0 K) = 0.25 eV per atom; space group = C2/m (12); magnetization = 0.000 μB/f.u.; raw total energy = -7.07 eV/atom
1.0
3.709 0.000 -0.009
0.000 3.490 0.000
-3.702 0.000 21.093
V Ti La
4 4 4
Cartesian
0.924 0.000 0.819
-0.916 0.000 20.266
-0.927 1.745 11.366
0.935 1.745 9.719
-0.920 0.000 9.138
0.927 0.000 11.947
-2.771 1.745 19.685
2.778 1.745 1.400
0.923 0.000 3.872
-0.916 0.000 17.213
-0.928 1.745 14.419
0.935 1.745 6.666


GGA-PBE LaTiV, optimized geometry; calculated volume = 128.4 Å³/cell; distance to the lowest polymorph of the same formula = 40 meV per atom; ΔH_f (0 K) = 0.22 eV per atom; space group = Pm (6); magnetization = 0.000 μB/f.u.; raw total energy = -7.10 eV/atom
1.0
-0.190 -1.940 2.552
3.157 0.333 0.488
-2.166 9.852 7.295
V Ti La
2 2 2
Cartesian
0.689 3.140 3.970
-0.786 1.098 4.336
1.164 0.976 2.372
-0.212 -1.509 2.400
-0.266 7.488 7.181
-1.384 3.835 6.336


GGA-PBE LaTiV, optimized geometry; calculated volume = 127.8 Å³/cell; distance to the lowest polymorph of the same formula = 0 meV per atom; ΔH_f (0 K) = 0.18 eV per atom; space group = P4/nmm (129); magnetization = 0.000 μB/f.u.; raw total energy = -7.14 eV/atom
1.0
3.176 0.000 0.000
0.000 3.176 0.000
0.000 0.000 12.671
V Ti La
2 2 2
Cartesian
0.000 1.588 12.020
1.588 0.000 0.651
0.000 1.588 2.181
1.588 0.000 10.489
0.000 1.588 7.926
1.588 0.000 4.745


GGA-PBE LaTi3V, optimized geometry; calculated volume = 108.2 Å³/cell; distance to the lowest polymorph of the same formula = 0 meV per atom; ΔH_f (0 K) = 0.44 eV per atom; space group = Pm-3m (221); magnetization = 0.001 μB/f.u.; raw total energy = -7.11 eV/atom
1.0
4.765 0.000 0.000
0.000 4.765 0.000
0.000 0.000 4.765
Ti La V
3 1 1
Cartesian
0.000 2.383 0.000
0.000 0.000 2.383
2.383 0.000 0.000
2.383 2.383 2.383
0.000 0.000 0.000


GGA-PBE LaTiV, optimized geometry; calculated volume = 266.1 Å³/cell; distance to the lowest polymorph of the same formula = 40 meV per atom; ΔH_f (0 K) = 0.22 eV per atom; space group = Cmcm (63); magnetization = 0.000 μB/f.u.; raw total energy = -7.10 eV/atom
1.0
3.462 0.000 0.000
0.000 20.331 0.000
0.000 0.000 3.780
V Ti La
4 4 4
Cartesian
0.000 10.973 0.945
0.000 9.358 2.835
1.731 0.808 0.945
1.731 19.524 2.835
0.000 18.904 0.945
0.000 1.427 2.835
1.731 8.738 0.945
1.731 11.593 2.835
0.000 13.979 0.945
0.000 6.352 2.835
1.731 3.813 0.945
1.731 16.518 2.835


GGA-PBE LaTiV, optimized geometry; calculated volume = 277.4 Å³/cell; distance to the lowest polymorph of the same formula = 100 meV per atom; ΔH_f (0 K) = 0.28 eV per atom; space group = C2/m (12); magnetization = 0.000 μB/f.u.; raw total energy = -7.04 eV/atom
1.0
-2.045 7.020 -2.152
-3.691 -1.829 -2.460
-4.283 0.206 6.273
Ti La V
4 4 4
Cartesian
-2.662 6.671 -0.967
-3.666 0.555 5.088
-6.649 5.860 0.940
-3.370 -0.463 0.722
-1.505 2.561 0.353
-4.824 4.665 3.769
-5.492 1.749 2.260
-4.528 3.648 -0.598
-2.405 1.081 2.804
-3.924 6.145 1.317
-6.392 0.270 4.711
-3.627 5.127 -3.049


GGA-PBE LaTi2V2, optimized geometry; calculated volume = 191.7 Å³/cell; distance to the lowest polymorph of the same formula = 0 meV per atom; ΔH_f (0 K) = 0.35 eV per atom; space group = P4/mbm (127); magnetization = 0.000 μB/f.u.; raw total energy = -7.44 eV/atom
1.0
-7.080 -1.535 -3.182
3.530 -3.346 -6.241
-0.052 -2.710 1.423
Ti La V
4 2 4
Cartesian
1.263 -3.682 -3.672
-1.459 -5.225 -6.710
-4.865 -3.908 -4.327
-2.143 -2.365 -1.290
0.000 0.000 0.000
-1.775 -2.440 -4.711
0.482 -3.437 -6.527
-3.845 -3.458 -6.726
-4.032 -1.443 -2.896
0.296 -1.422 -2.697


GGA-PBE LaTi2V, optimized geometry; calculated volume = 227.2 Å³/cell; distance to the lowest polymorph of the same formula = 689 meV per atom; ΔH_f (0 K) = 1.14 eV per atom; space group = I4_1/amd (141); magnetization = 1.110 μB/f.u.; raw total energy = -6.32 eV/atom
1.0
-0.698 -5.346 -4.215
2.325 -4.169 4.903
-3.723 -5.418 1.934
Ti La V
4 2 2
Cartesian
-0.902 -3.880 -0.484
0.261 -5.965 1.967
-1.601 -8.674 2.934
-1.950 -11.347 0.827
0.000 0.000 0.000
-1.804 -7.761 -0.968
0.814 -4.757 0.344
-0.292 -7.172 3.591


GGA-PBE LaTiV, optimized geometry; calculated volume = 285.8 Å³/cell; distance to the lowest polymorph of the same formula = 88 meV per atom; ΔH_f (0 K) = 0.27 eV per atom; space group = C2/m (12); magnetization = 0.001 μB/f.u.; raw total energy = -7.05 eV/atom
1.0
-3.780 4.799 -5.797
0.296 -3.503 -3.093
-5.419 -3.786 3.769
V Ti La
4 4 4
Cartesian
-3.406 -1.387 1.244
-5.793 2.399 -3.273
-0.548 -1.245 -2.187
-8.354 -1.245 -2.935
-4.452 3.989 -4.945
-4.747 -2.977 2.916
-7.013 0.345 -4.607
-1.889 -2.835 -0.515
-2.813 0.643 -0.997
-6.385 0.370 -1.031
-5.374 -3.002 -0.660
-3.528 0.511 -4.462


GGA-PBE LaTiV, optimized geometry; calculated volume = 129.0 Å³/cell; distance to the lowest polymorph of the same formula = 55 meV per atom; ΔH_f (0 K) = 0.23 eV per atom; space group = Cm (8); magnetization = 0.003 μB/f.u.; raw total energy = -7.08 eV/atom
1.0
3.416 0.014 0.030
-0.017 3.416 0.028
-0.451 -0.447 11.044
V Ti La
2 2 2
Cartesian
1.812 0.220 6.420
1.761 0.171 8.896
0.002 1.828 10.246
0.056 1.882 7.548
0.362 2.188 4.304
2.067 0.472 1.440


GGA-PBE LaTi2V, optimized geometry; calculated volume = 76.3 Å³/cell; distance to the lowest polymorph of the same formula = 0 meV per atom; ΔH_f (0 K) = 0.45 eV per atom; space group = Fm-3m (225); magnetization = 0.000 μB/f.u.; raw total energy = -7.01 eV/atom
1.0
0.000 3.366 3.366
3.366 0.000 3.366
3.366 3.366 0.000
Ti La V
2 1 1
Cartesian
1.683 1.683 1.683
5.049 5.049 5.049
3.366 3.366 3.366
0.000 0.000 0.000